P:
# Li3Co2O6, relaxed, DFT GGA+U
data_Li3Co2O6
_chemical_formula_sum 'Li3 Co2 O6'
_cell_length_a 4.873
_cell_length_b 4.873
_cell_length_c 4.922
_cell_angle_alpha 98.61
_cell_angle_beta 98.61
_cell_angle_gamma 121.41
_space_group_name_H-M_alt 'P 1'
_space_group_IT_number 1
_space_group_name_Hall 'P 1'
loop_
_atom_site_label
_atom_site_type_symbol
_atom_site_fract_x
_atom_site_fract_y
_atom_site_fract_z
Li1 Li 0.000 0.000 0.000
Li2 Li 0.159 0.841 0.500
Li3 Li 0.841 0.159 0.500
Co1 Co 0.339 0.661 0.000
Co2 Co 0.661 0.339 0.000
O1 O 0.068 0.436 0.219
O2 O 0.283 0.283 0.778
O3 O 0.436 0.068 0.219
O4 O 0.564 0.932 0.781
O5 O 0.717 0.717 0.222
O6 O 0.932 0.564 0.781
# Total moment (μB/cell): 3.00
# Space group: C2/m (12)



Q:
# Li3Co2O6, relaxed, DFT GGA+U
data_Li3Co2O6
_chemical_formula_sum 'Li3 Co2 O6'
_cell_length_a 4.838
_cell_length_b 4.838
_cell_length_c 4.991
_cell_angle_alpha 99.53
_cell_angle_beta 99.53
_cell_angle_gamma 119.85
_space_group_name_H-M_alt 'P 1'
_space_group_IT_number 1
_space_group_name_Hall 'P 1'
loop_
_atom_site_label
_atom_site_type_symbol
_atom_site_fract_x
_atom_site_fract_y
_atom_site_fract_z
Li1 Li 0.000 0.000 0.000
Li2 Li 0.497 0.503 0.500
Li3 Li 0.835 0.165 0.500
Co1 Co 0.325 0.675 0.000
Co2 Co 0.657 0.343 0.000
O1 O 0.075 0.447 0.213
O2 O 0.276 0.298 0.777
O3 O 0.438 0.094 0.222
O4 O 0.553 0.925 0.787
O5 O 0.702 0.724 0.223
O6 O 0.906 0.562 0.778
# Total moment (μB/cell): 3.00
# Space group: C2 (5)



Looking at the structures above, Q is most stable, and the difference to the next one is 6 meV/atom.